# 1
Entry from Alexandria via LeMat-Bulk: an optimized crystal structure of Nd2Ni4AsP3 (GGA-PBE).

a = 4.087 Å, b = 4.087 Å, c = 9.281 Å
α = 90.00°, β = 90.00°, γ = 90.00°
Positions (direct):
Nd 0.000 0.500 0.246
Nd 0.500 0.000 0.754
Ni 0.000 0.000 0.000
Ni 0.000 0.500 0.623
Ni 0.500 0.000 0.377
Ni 0.500 0.500 0.000
As 0.000 0.000 0.500
P 0.000 0.500 0.873
P 0.500 0.000 0.127
P 0.500 0.500 0.500

Values from the calculation:
DFT formation energy: -0.9326 eV per atom
SG: P-4m2 (115)
DOS at the Fermi energy: 3.6 states/eV/cell

# 2
Entry from Alexandria via LeMat-Bulk: an optimized crystal structure of YInOs2 (GGA-PBE).

a = 4.729 Å, b = 4.729 Å, c = 4.729 Å
α = 60.00°, β = 60.00°, γ = 60.00°
Positions (direct):
Y 0.000 0.000 0.000
In 0.750 0.750 0.750
Os 0.250 0.250 0.250
Os 0.500 0.500 0.500

Values from the calculation:
DFT formation energy: 0.4665 eV per atom
SG: F-43m (216)
DOS at the Fermi energy: 4.7 states/eV/cell

# 3
Entry from Alexandria via LeMat-Bulk: an optimized crystal structure of DyMn17Fe (GGA-PBE).

a = 6.193 Å, b = 6.193 Å, c = 6.193 Å
α = 80.85°, β = 80.85°, γ = 80.85°
Positions (direct):
Dy 0.000 0.000 0.000
Mn 0.027 0.360 0.641
Mn 0.027 0.641 0.360
Mn 0.204 0.685 0.685
Mn 0.248 0.248 0.248
Mn 0.335 0.335 0.834
Mn 0.335 0.834 0.335
Mn 0.360 0.027 0.641
Mn 0.360 0.641 0.027
Mn 0.426 0.426 0.426
Mn 0.508 0.994 0.994
Mn 0.641 0.027 0.360
Mn 0.641 0.360 0.027
Mn 0.685 0.204 0.685
Mn 0.685 0.685 0.204
Mn 0.834 0.335 0.335
Mn 0.994 0.508 0.994
Mn 0.994 0.994 0.508
Fe 0.671 0.671 0.671

Values from the calculation:
DFT formation energy: 0.1548 eV per atom
SG: R3m (160)
DOS at the Fermi energy: 26.1 states/eV/cell

# 4
Entry from Alexandria via LeMat-Bulk: an optimized crystal structure of VCr2Pt8 (GGA-PBE).

a = 7.214 Å, b = 7.214 Å, c = 7.214 Å
α = 148.71°, β = 116.81°, γ = 72.21°
Positions (direct):
V 0.000 0.000 0.000
Cr 0.332 0.332 0.000
Cr 0.668 0.668 0.000
Pt 0.098 0.837 0.261
Pt 0.159 0.659 0.500
Pt 0.272 0.500 0.772
Pt 0.423 0.163 0.261
Pt 0.577 0.837 0.739
Pt 0.728 0.500 0.228
Pt 0.841 0.341 0.500
Pt 0.902 0.163 0.739

Values from the calculation:
DFT formation energy: -0.2695 eV per atom
SG: Immm (71)
DOS at the Fermi energy: 7.7 states/eV/cell

# 5
Entry from Alexandria via LeMat-Bulk: an optimized crystal structure of Tl2CdSb (GGA-PBE).

a = 6.533 Å, b = 5.867 Å, c = 6.644 Å
α = 90.00°, β = 105.54°, γ = 90.00°
Positions (direct):
Tl 0.031 0.250 0.160
Tl 0.355 0.750 0.494
Tl 0.645 0.250 0.506
Tl 0.969 0.750 0.840
Cd 0.500 0.000 0.000
Cd 0.500 0.500 0.000
Sb 0.176 0.250 0.686
Sb 0.824 0.750 0.314

Values from the calculation:
SG: P2_1/m (11)
Relative energy among the computed polymorphs: 38 meV per atom
DOS at the Fermi energy: 3.3 states/eV/cell
E_form (uncorrected): 0.044 eV/atom

# 6
Entry from Alexandria via LeMat-Bulk: an optimized crystal structure of KZr2Pb (GGA-PBE).

a = 11.684 Å, b = 11.684 Å, c = 11.684 Å
α = 16.71°, β = 16.71°, γ = 16.71°
Positions (direct):
K 0.000 0.000 0.000
Zr 0.234 0.234 0.234
Zr 0.499 0.499 0.499
Pb 0.756 0.756 0.756

Values from the calculation:
DFT formation energy: 0.1858 eV per atom
SG: R3m (160)
Relative energy among the computed polymorphs: 83 meV per atom
DOS at the Fermi energy: 4.5 states/eV/cell

# 7
Entry from Alexandria via LeMat-Bulk: an optimized crystal structure of Ce3PaRh (GGA-PBE).

a = 3.044 Å, b = 9.696 Å, c = 8.375 Å
α = 90.00°, β = 90.13°, γ = 90.00°
Positions (direct):
Ce 0.184 0.250 0.105
Ce 0.230 0.054 0.692
Ce 0.230 0.446 0.692
Ce 0.770 0.554 0.308
Ce 0.770 0.946 0.308
Ce 0.816 0.750 0.895
Pa 0.231 0.250 0.448
Pa 0.769 0.750 0.552
Rh 0.500 0.000 0.000
Rh 0.500 0.500 0.000

Values from the calculation:
DFT formation energy: -0.0635 eV per atom
SG: P2_1/m (11)
DOS at the Fermi energy: 24.4 states/eV/cell

# 8
Entry from Alexandria via LeMat-Bulk: an optimized crystal structure of NdSm4Ho (GGA-PBE).

a = 8.100 Å, b = 8.100 Å, c = 5.110 Å
α = 90.00°, β = 90.00°, γ = 143.08°
Positions (direct):
Nd 0.000 0.000 0.000
Sm 0.167 0.833 0.500
Sm 0.334 0.666 0.000
Sm 0.666 0.334 0.000
Sm 0.833 0.167 0.500
Ho 0.500 0.500 0.500

Values from the calculation:
DFT formation energy: 0.0154 eV per atom
SG: Cmmm (65)
Relative energy among the computed polymorphs: 0 meV per atom
DOS at the Fermi energy: 8.3 states/eV/cell

# 9
Entry from Alexandria via LeMat-Bulk: an optimized crystal structure of RbSrYP2 (GGA-PBE).

a = 5.718 Å, b = 5.718 Å, c = 5.753 Å
α = 90.00°, β = 90.00°, γ = 90.00°
Positions (direct):
Rb 0.000 0.000 0.000
Sr 0.500 0.500 0.500
Y 0.500 0.500 0.000
P 0.000 0.500 0.500
P 0.500 0.000 0.500

Values from the calculation:
DFT formation energy: 0.7306 eV per atom
SG: P4/mmm (123)
DOS at the Fermi energy: 5.5 states/eV/cell

# 10
Entry from Alexandria via LeMat-Bulk: an optimized crystal structure of TaSbTe2W (GGA-PBE).

a = 5.321 Å, b = 5.321 Å, c = 5.422 Å
α = 90.00°, β = 90.00°, γ = 90.00°
Positions (direct):
Ta 0.000 0.000 0.000
Sb 0.000 0.000 0.500
Te 0.000 0.500 0.000
Te 0.500 0.000 0.000
W 0.500 0.500 0.500

Values from the calculation:
SG: P4/mmm (123)
Relative energy among the computed polymorphs: 0 meV per atom
DOS at the Fermi energy: 3.6 states/eV/cell
E_form (uncorrected): 1.406 eV/atom

# 11
Entry from Alexandria via LeMat-Bulk: an optimized crystal structure of HoSc2Sn (GGA-PBE).

a = 11.359 Å, b = 11.359 Å, c = 11.359 Å
α = 16.78°, β = 16.78°, γ = 16.78°
Positions (direct):
Ho 0.000 0.000 0.000
Sc 0.095 0.095 0.095
Sc 0.905 0.905 0.905
Sn 0.500 0.500 0.500

Values from the calculation:
DFT formation energy: 0.0364 eV per atom
SG: R-3m (166)
Relative energy among the computed polymorphs: 493 meV per atom
DOS at the Fermi energy: 6.3 states/eV/cell

# 12
Entry from Alexandria via LeMat-Bulk: an optimized crystal structure of Tb5Tl3 (GGA-PBE).

a = 8.883 Å, b = 8.883 Å, c = 8.883 Å
α = 123.19°, β = 123.19°, γ = 84.55°
Positions (direct):
Tb 0.000 0.000 0.000
Tb 0.000 0.500 0.194
Tb 0.000 0.500 0.806
Tb 0.195 0.000 0.500
Tb 0.305 0.805 0.806
Tb 0.500 0.305 0.500
Tb 0.500 0.500 0.000
Tb 0.500 0.695 0.500
Tb 0.695 0.195 0.194
Tb 0.805 0.000 0.500
Tl 0.145 0.355 0.500
Tl 0.250 0.250 0.000
Tl 0.355 0.855 0.209
Tl 0.645 0.145 0.791
Tl 0.750 0.750 0.000
Tl 0.855 0.645 0.500

Values from the calculation:
DFT formation energy: -0.2857 eV per atom
SG: I4/mcm (140)
Relative energy among the computed polymorphs: 25 meV per atom
DOS at the Fermi energy: 17.1 states/eV/cell

# 13
Entry from Alexandria via LeMat-Bulk: an optimized crystal structure of Sm4PSe2S (GGA-PBE).

a = 7.081 Å, b = 4.090 Å, c = 7.231 Å
α = 90.00°, β = 109.03°, γ = 90.00°
Positions (direct):
Sm 0.239 0.000 0.228
Sm 0.253 0.500 0.772
Sm 0.747 0.500 0.228
Sm 0.761 0.000 0.772
P 0.000 0.500 0.000
Se 0.000 0.000 0.500
Se 0.500 0.500 0.500
S 0.500 0.000 0.000

Values from the calculation:
SG: P2/m (10)
DOS at the Fermi energy: 3.0 states/eV/cell
E_form (uncorrected): -1.870 eV/atom

# 14
Entry from Alexandria via LeMat-Bulk: an optimized crystal structure of Pm4S5 (GGA-PBE).

a = 9.057 Å, b = 9.057 Å, c = 9.057 Å
α = 92.25°, β = 92.25°, γ = 157.15°
Positions (direct):
Pm 0.141 0.141 0.281
Pm 0.141 0.859 0.000
Pm 0.859 0.141 0.000
Pm 0.859 0.859 0.719
S 0.248 0.500 0.748
S 0.500 0.248 0.748
S 0.500 0.500 0.000
S 0.500 0.752 0.252
S 0.752 0.500 0.252

Values from the calculation:
SG: I4/mmm (139)
DOS at the Fermi energy: 5.3 states/eV/cell
E_form (uncorrected): -1.299 eV/atom

# 15
Entry from Alexandria via LeMat-Bulk: an optimized crystal structure of CaRe (GGA-PBE).

a = 2.922 Å, b = 2.922 Å, c = 5.184 Å
α = 90.00°, β = 90.00°, γ = 120.00°
Positions (direct):
Ca 0.000 0.000 0.000
Re 0.667 0.333 0.500

Values from the calculation:
DFT formation energy: 0.9638 eV per atom
SG: P-6m2 (187)
Relative energy among the computed polymorphs: 661 meV per atom
DOS at the Fermi energy: 2.1 states/eV/cell

# 16
Entry from Alexandria via LeMat-Bulk: an optimized crystal structure of Sm6Ho2Er3Pu (GGA-PBE).

a = 6.185 Å, b = 6.185 Å, c = 11.724 Å
α = 95.05°, β = 95.05°, γ = 120.01°
Positions (direct):
Sm 0.083 0.413 0.749
Sm 0.247 0.247 0.251
Sm 0.413 0.083 0.749
Sm 0.587 0.917 0.251
Sm 0.753 0.753 0.749
Sm 0.917 0.587 0.251
Ho 0.333 0.667 0.500
Ho 0.667 0.333 0.500
Er 0.167 0.833 0.000
Er 0.500 0.500 0.000
Er 0.833 0.167 0.000
Pu 0.000 0.000 0.500

Values from the calculation:
DFT formation energy: 0.0445 eV per atom
SG: C2/m (12)
DOS at the Fermi energy: 22.2 states/eV/cell

# 17
Entry from Alexandria via LeMat-Bulk: an optimized crystal structure of Ca2LaSc (GGA-PBE).

a = 7.117 Å, b = 7.117 Å, c = 3.525 Å
α = 101.63°, β = 101.63°, γ = 120.55°
Positions (direct):
Ca 0.000 0.500 0.000
Ca 0.500 0.000 0.000
La 0.000 0.000 0.500
Sc 0.500 0.500 0.500

Values from the calculation:
DFT formation energy: 0.1961 eV per atom
SG: C2/m (12)
Relative energy among the computed polymorphs: 114 meV per atom
DOS at the Fermi energy: 7.0 states/eV/cell

# 18
Entry from Alexandria via LeMat-Bulk: an optimized crystal structure of NaSr2DySe4 (GGA-PBE).

a = 7.403 Å, b = 4.314 Å, c = 7.479 Å
α = 90.00°, β = 108.67°, γ = 90.00°
Positions (direct):
Na 0.000 0.000 0.000
Sr 0.500 0.000 0.500
Sr 0.500 0.500 0.000
Dy 0.000 0.500 0.500
Se 0.229 0.000 0.735
Se 0.236 0.500 0.260
Se 0.764 0.500 0.740
Se 0.771 0.000 0.265

Values from the calculation:
SG: P2/m (10)
E_form (uncorrected): -1.838 eV/atom

# 19
Entry from Alexandria via LeMat-Bulk: an optimized crystal structure of Tl2PtW (GGA-PBE).

a = 3.000 Å, b = 4.969 Å, c = 5.407 Å
α = 90.00°, β = 90.00°, γ = 90.00°
Positions (direct):
Tl 0.000 0.000 0.000
Tl 0.500 0.000 0.500
Pt 0.000 0.500 0.500
W 0.500 0.500 0.000

Values from the calculation:
DFT formation energy: 0.7642 eV per atom
SG: Pmmm (47)
Relative energy among the computed polymorphs: 423 meV per atom
DOS at the Fermi energy: 2.5 states/eV/cell

# 20
Entry from Alexandria via LeMat-Bulk: an optimized crystal structure of Sr3Sm2TmSe6 (GGA-PBE).

a = 7.328 Å, b = 7.328 Å, c = 7.487 Å
α = 99.42°, β = 99.42°, γ = 119.93°
Positions (direct):
Sr 0.000 0.000 0.000
Sr 0.331 0.669 0.000
Sr 0.669 0.331 0.000
Sm 0.166 0.834 0.500
Sm 0.834 0.166 0.500
Tm 0.500 0.500 0.500
Se 0.098 0.423 0.267
Se 0.254 0.254 0.735
Se 0.423 0.098 0.267
Se 0.577 0.902 0.733
Se 0.746 0.746 0.265
Se 0.902 0.577 0.733

Values from the calculation:
SG: C2/m (12)
DOS at the Fermi energy: 4.6 states/eV/cell
E_form (uncorrected): -1.887 eV/atom

# 21
Entry from Alexandria via LeMat-Bulk: an optimized crystal structure of Tb12CeSm6 (GGA-PBE).

a = 8.747 Å, b = 8.747 Å, c = 8.747 Å
α = 99.16°, β = 99.16°, γ = 99.16°
Positions (direct):
Tb 0.000 0.257 0.743
Tb 0.000 0.743 0.257
Tb 0.147 0.147 0.420
Tb 0.147 0.420 0.147
Tb 0.257 0.000 0.743
Tb 0.257 0.743 0.000
Tb 0.420 0.147 0.147
Tb 0.580 0.853 0.853
Tb 0.743 0.000 0.257
Tb 0.743 0.257 0.000
Tb 0.853 0.580 0.853
Tb 0.853 0.853 0.580
Ce 0.500 0.500 0.500
Sm 0.160 0.599 0.599
Sm 0.401 0.401 0.840
Sm 0.401 0.840 0.401
Sm 0.599 0.160 0.599
Sm 0.599 0.599 0.160
Sm 0.840 0.401 0.401

Values from the calculation:
DFT formation energy: 0.2113 eV per atom
SG: R-3m (166)
DOS at the Fermi energy: 33.1 states/eV/cell

# 22
Entry from Alexandria via LeMat-Bulk: an optimized crystal structure of La4YTe5 (GGA-PBE).

a = 7.857 Å, b = 7.857 Å, c = 7.857 Å
α = 99.65°, β = 99.65°, γ = 131.67°
Positions (direct):
La 0.095 0.696 0.791
La 0.304 0.095 0.400
La 0.696 0.905 0.600
La 0.905 0.304 0.209
Y 0.500 0.500 0.000
Te 0.000 0.000 0.000
Te 0.211 0.400 0.610
Te 0.400 0.789 0.189
Te 0.600 0.211 0.811
Te 0.789 0.600 0.390

Values from the calculation:
SG: I4/m (87)
Relative energy among the computed polymorphs: 0 meV per atom
DOS at the Fermi energy: 6.6 states/eV/cell
E_form (uncorrected): -1.535 eV/atom

# 23
Entry from Alexandria via LeMat-Bulk: an optimized crystal structure of Ac5SN4 (GGA-PBE).

a = 6.908 Å, b = 6.908 Å, c = 9.975 Å
α = 118.27°, β = 118.27°, γ = 33.33°
Positions (direct):
Ac 0.000 0.000 0.000
Ac 0.208 0.208 0.817
Ac 0.393 0.393 0.624
Ac 0.607 0.607 0.376
Ac 0.792 0.792 0.183
S 0.000 0.000 0.500
N 0.189 0.189 0.288
N 0.398 0.398 0.098
N 0.602 0.602 0.902
N 0.811 0.811 0.712

Values from the calculation:
SG: C2/m (12)
DOS at the Fermi energy: 2.3 states/eV/cell
E_form (uncorrected): -1.256 eV/atom